VASP calculation (PBE) on a relaxed Ti3NbGa2C crystal.

Values from the calculation:
Uncorrected energy, eV per atom: -7.36
Energy of formation, meV/atom: -356

Unit cell a=7.4862 b=7.4862 c=7.4862 alpha=148.58 beta=147.69 gamma=45.69
Closest atoms and distances in Å follow each position.
Element x y z (fractional)
Ti: 0.0000 0.0000 0.0000  2 C 2.03
Ti: 0.1568 0.6568 0.5000  1 C 2.16
Ti: 0.8432 0.3432 0.5000  1 C 2.16
Nb: 0.5000 0.5000 0.0000  2 C 2.08
Ga: 0.3554 0.8554 0.5000  7 Ti 2.74-2.91, 2 Nb 2.84
Ga: 0.6446 0.1446 0.5000  7 Ti 2.74-2.91, 2 Nb 2.84
C: 0.0000 0.5000 0.5000  4 Ti 2.03-2.16, 2 Nb 2.08